A plane-wave DFT calculation with PBE was carried out for a relaxed structure of LuZrInAu.

The structure in POSCAR format:
```
LuZrInAu
1.0
5.0295 0.0000 0.0000
2.5148 4.3557 0.0000
2.5148 1.4519 4.1066
Au Lu In Zr
1 1 1 1
Cartesian
5.0295 2.9038 2.0533
7.5443 4.3557 3.0799
0.0000 0.0000 0.0000
2.5148 1.4519 1.0266
```

DFT total energy, eV per atom: -5.19
E_form, eV per formula unit: -1.67
DOS at the Fermi energy, states/eV/cell: 2.31
Calculated volume, A^3/atom: 22.5